Ta4Mo3Os (GGA-PBE, optimized geometry); space group = Pmmm, No. 47; ΔH_f (0 K) = -296 meV/atom; N(E_F) = 4.67 states/eV/f.u.; calculated volume = 133 Å³ per cell
1.0
-2.262 1.887 1.272
-2.615 -3.652 0.766
3.801 -0.995 8.235
Mo Ta Os
3 4 1
Direct
0.500 0.000 0.247 Mo
0.500 0.500 0.500 Mo
0.500 0.000 0.753 Mo
0.000 0.500 0.751 Ta
0.000 0.000 0.000 Ta
0.000 0.500 0.249 Ta
0.000 0.000 0.500 Ta
0.500 0.500 0.000 Os